An optimized crystal structure of Th4SnTe2P, computed with PBE-GGA.

a b c (Å): 4.3504 7.6093 7.8174
angles (deg): 108.89 90.00 90.00
Element x y z (fractional)
Th 0.0000 0.2837 0.7869
Th 0.5000 0.2694 0.2240
Th 0.0000 0.7163 0.2131
Th 0.5000 0.7306 0.7760
Sn 0.0000 0.0000 0.0000
Te 0.5000 0.0000 0.5000
Te 0.0000 0.5000 0.5000
P 0.5000 0.5000 0.0000

Results
Fermi-level density of states = 5.26 states/eV per cell
Uncorrected energy = -6.732 eV per atom
Energy relative to the elements, uncorrected = -1.060 eV/atom